(1)
## SrLaSe2 (PBE)

Data for an optimized crystal structure of SrLaSe2.

Cell lengths 5.284, 5.284, 5.284 Å; angles 60.00, 60.00, 60.00 degrees
Element x y z (fractional)
Sr: 0.000 0.000 0.000
La: 0.250 0.250 0.250
Se: 0.500 0.500 0.500
Se: 0.750 0.750 0.750

As for the uncorrected formation energy: -0.754 eV/atom. As for the crystal system: cubic. As for the energy above the lowest structure with this stoichiometry: 1246.6 meV per atom. Its symmetry is F-43m.

(2)
## Tb7TmMg4 (PBE)

Data for an optimized crystal structure of Tb7TmMg4.

Cell lengths 8.074, 8.074, 9.653 Å; angles 119.29, 119.29, 41.67 degrees
Element x y z (fractional)
Tb: 0.000 0.000 0.000
Tb: 0.250 0.250 0.713
Tb: 0.300 0.300 0.122
Tb: 0.420 0.420 0.576
Tb: 0.580 0.580 0.424
Tb: 0.700 0.700 0.878
Tb: 0.750 0.750 0.287
Tm: 0.500 0.500 0.000
Mg: 0.042 0.042 0.697
Mg: 0.175 0.175 0.346
Mg: 0.825 0.825 0.654
Mg: 0.958 0.958 0.303

As for the crystal system: monoclinic. Its energy of formation from the pure elements is 193.5 kJ/mol of formula units. Its symmetry is C2/m.

Question: Number 2 is which compound?
Answer: Tb7TmMg4

Please write out number 2 again, unchanged.
## Tb7TmMg4 (PBE)

Data for an optimized crystal structure of Tb7TmMg4.

Cell lengths 8.074, 8.074, 9.653 Å; angles 119.29, 119.29, 41.67 degrees
Element x y z (fractional)
Tb: 0.000 0.000 0.000
Tb: 0.250 0.250 0.713
Tb: 0.300 0.300 0.122
Tb: 0.420 0.420 0.576
Tb: 0.580 0.580 0.424
Tb: 0.700 0.700 0.878
Tb: 0.750 0.750 0.287
Tm: 0.500 0.500 0.000
Mg: 0.042 0.042 0.697
Mg: 0.175 0.175 0.346
Mg: 0.825 0.825 0.654
Mg: 0.958 0.958 0.303

As for the crystal system: monoclinic. Its energy of formation from the pure elements is 193.5 kJ/mol of formula units. Its symmetry is C2/m.